#1
NaFeSb2I: optimized geometry, PBE-GGA.

DOS at the Fermi energy = 4.5 states/eV per cell
ρ = 5.04 g cm⁻³
calculated volume = 148.0 Å³ per cell

a b c (Å): 4.826 4.826 6.353
angles (deg): 90.00 90.00 90.00
Sites, in units of the cell vectors:
Na: 0.000 0.000 0.000
Fe: 0.500 0.500 0.500
Sb: 0.000 0.500 0.500
Sb: 0.500 0.000 0.500
I: 0.500 0.500 0.000

---

#2
NaFeSb2I: optimized geometry, PBE-GGA.

DOS at the Fermi energy = 9.2 states/eV per cell
ρ = 4.46 g cm⁻³
calculated volume = 167.1 Å³ per cell

a b c (Å): 5.451 5.451 5.626
angles (deg): 90.00 90.00 90.00
Sites, in units of the cell vectors:
Na: 0.000 0.000 0.000
Fe: 0.500 0.500 0.500
Sb: 0.000 0.500 0.000
Sb: 0.500 0.000 0.000
I: 0.000 0.000 0.500

---

Most favorable structure: #1. The second most favorable one is 1085 meV/atom above it.